No. 1
{"formula": "Tb4Tm7In", "functional": "GGA-PBE", "state": "relaxed", "lattice_angstrom": [[6.006, -2.888, 0.000], [6.006, 2.888, 0.000], [-5.075, 0.000, 11.089]], "species": ["Tb", "Tb", "Tb", "Tb", "Tm", "Tm", "Tm", "Tm", "Tm", "Tm", "Tm", "In"], "fractional_positions": [[0.125, 0.125, 0.269], [0.347, 0.347, 0.876], [0.653, 0.653, 0.124], [0.875, 0.875, 0.731], [0.000, 0.000, 0.500], [0.131, 0.131, 0.978], [0.299, 0.299, 0.580], [0.402, 0.402, 0.220], [0.598, 0.598, 0.780], [0.701, 0.701, 0.420], [0.869, 0.869, 0.022], [0.500, 0.500, 0.500]], "dft_energy_ev_per_atom": -4.181, "e_form_mev_per_atom": 199}

No. 2
{"formula": "Tb4Tm9In11", "functional": "GGA-PBE", "state": "relaxed", "lattice_angstrom": [[7.904, -11.599, 0.000], [7.904, 11.599, 0.000], [0.000, 0.000, 3.454]], "species": ["Tb", "Tb", "Tb", "Tb", "Tm", "Tm", "Tm", "Tm", "Tm", "Tm", "Tm", "Tm", "Tm", "In", "In", "In", "In", "In", "In", "In", "In", "In", "In", "In"], "fractional_positions": [[0.092, 0.255, 0.000], [0.255, 0.092, 0.000], [0.745, 0.908, 0.000], [0.908, 0.745, 0.000], [0.000, 0.000, 0.000], [0.112, 0.666, 0.000], [0.297, 0.490, 0.000], [0.334, 0.888, 0.000], [0.490, 0.297, 0.000], [0.510, 0.703, 0.000], [0.666, 0.112, 0.000], [0.703, 0.510, 0.000], [0.888, 0.334, 0.000], [0.091, 0.459, 0.500], [0.121, 0.879, 0.500], [0.298, 0.298, 0.500], [0.311, 0.689, 0.500], [0.459, 0.091, 0.500], [0.500, 0.500, 0.500], [0.541, 0.909, 0.500], [0.689, 0.311, 0.500], [0.702, 0.702, 0.500], [0.879, 0.121, 0.500], [0.909, 0.541, 0.500]], "dft_energy_ev_per_atom": -4.076, "e_form_mev_per_atom": -373}

No. 3
{"formula": "Tb2Tm3In4", "functional": "GGA-PBE", "state": "relaxed", "lattice_angstrom": [[3.486, -8.115, 0.000], [3.486, 8.115, 0.000], [0.000, 0.000, 9.104]], "species": ["Tb", "Tb", "Tb", "Tb", "Tm", "Tm", "Tm", "Tm", "Tm", "Tm", "In", "In", "In", "In", "In", "In", "In", "In"], "fractional_positions": [[0.111, 0.889, 0.927], [0.389, 0.611, 0.427], [0.611, 0.389, 0.573], [0.889, 0.111, 0.073], [0.000, 0.000, 0.500], [0.036, 0.464, 0.750], [0.464, 0.036, 0.250], [0.500, 0.500, 0.000], [0.536, 0.964, 0.750], [0.964, 0.536, 0.250], [0.187, 0.813, 0.540], [0.223, 0.277, 0.750], [0.277, 0.223, 0.250], [0.313, 0.687, 0.040], [0.687, 0.313, 0.960], [0.723, 0.777, 0.750], [0.777, 0.723, 0.250], [0.813, 0.187, 0.460]], "dft_energy_ev_per_atom": -3.992, "e_form_mev_per_atom": -256}

No. 4
{"formula": "TbTm6In2", "functional": "GGA-PBE", "state": "relaxed", "lattice_angstrom": [[6.267, -1.845, 0.000], [6.267, 1.845, 0.000], [-3.685, 0.000, 11.233]], "species": ["Tb", "Tm", "Tm", "Tm", "Tm", "Tm", "Tm", "In", "In"], "fractional_positions": [[0.000, 0.000, 0.000], [0.014, 0.014, 0.344], [0.311, 0.311, 0.418], [0.316, 0.316, 0.124], [0.684, 0.684, 0.876], [0.689, 0.689, 0.582], [0.986, 0.986, 0.656], [0.355, 0.355, 0.789], [0.645, 0.645, 0.211]], "dft_energy_ev_per_atom": -4.306, "e_form_mev_per_atom": -202}

No. 5
{"formula": "Tb7Tm2In2", "functional": "GGA-PBE", "state": "relaxed", "lattice_angstrom": [[3.342, -5.821, 0.000], [3.342, 5.821, 0.000], [0.000, 0.000, 9.173]], "species": ["Tb", "Tb", "Tb", "Tb", "Tb", "Tb", "Tb", "Tm", "Tm", "In", "In"], "fractional_positions": [[0.000, 0.000, 0.000], [0.000, 0.500, 0.299], [0.000, 0.500, 0.701], [0.500, 0.000, 0.299], [0.500, 0.000, 0.701], [0.500, 0.500, 0.186], [0.500, 0.500, 0.814], [0.243, 0.243, 0.500], [0.757, 0.757, 0.500], [0.271, 0.729, 0.000], [0.729, 0.271, 0.000]], "dft_energy_ev_per_atom": -4.108, "e_form_mev_per_atom": 150}

No. 6
{"formula": "TbTm5In", "functional": "GGA-PBE", "state": "relaxed", "lattice_angstrom": [[-3.950, 5.690, 3.056], [3.950, -5.690, 3.056], [3.950, 5.690, -3.056]], "species": ["Tb", "Tm", "Tm", "Tm", "Tm", "Tm", "In"], "fractional_positions": [[0.000, 0.000, 0.000], [0.356, 0.608, 0.748], [0.500, 0.315, 0.815], [0.500, 0.686, 0.185], [0.792, 0.292, 0.500], [0.860, 0.608, 0.252], [0.267, 0.767, 0.500]], "dft_energy_ev_per_atom": -3.511, "e_form_mev_per_atom": 736}